First-principles (PBE-GGA) data for Cs6PtBr2 after structural relaxation, as listed in Alexandria.

Spin magnetization in μB per cell: 0.00
Formation energy (no corrections) in eV per atom: -0.76

a b c (Å): 8.6497 8.6497 15.6414
angles (deg): 90.00 90.00 90.00
Space group P4_2/mnm (No. 136)
One atom of each set of equivalent atoms:
1 Cs 0.1919 0.1919 0.1579 x8
2 Cs 0.2181 0.2181 0.5000 x4
3 Pt 0.0000 0.0000 0.0000 x2
4 Br 0.0000 0.0000 0.3382 x4